# 1
# SmHo4 (PBE, relaxed)
data_SmHo4
_chemical_formula_sum 'Sm1 Ho4'
_symmetry_space_group_name_H-M 'P 1'
_symmetry_Int_Tables_number 1
_symmetry_space_group_name_Hall 'P 1'
_cell_length_a 12.816
_cell_length_b 12.816
_cell_length_c 12.816
_cell_angle_alpha 164.14
_cell_angle_beta 164.14
_cell_angle_gamma 22.51
loop_
_atom_site_label
_atom_site_fract_x
_atom_site_fract_y
_atom_site_fract_z
Sm1 0.000 0.000 0.000
Ho1 0.201 0.201 0.000
Ho2 0.398 0.398 0.000
Ho3 0.602 0.602 0.000
Ho4 0.799 0.799 0.000
# Magnetic moment, μB/atom: 0.0000
# Distance to the lowest polymorph of the same formula, meV per atom: 2
# E, eV/atom: -4.585

---

# 2
# Li2ZnNi (PBE, relaxed)
data_Li2ZnNi
_chemical_formula_sum 'Li2 Zn1 Ni1'
_symmetry_space_group_name_H-M 'P 1'
_symmetry_Int_Tables_number 1
_symmetry_space_group_name_Hall 'P 1'
_cell_length_a 4.763
_cell_length_b 4.763
_cell_length_c 4.763
_cell_angle_alpha 135.80
_cell_angle_beta 135.80
_cell_angle_gamma 64.28
loop_
_atom_site_label
_atom_site_fract_x
_atom_site_fract_y
_atom_site_fract_z
Li1 0.250 0.750 0.500
Li2 0.750 0.250 0.500
Zn1 0.000 0.000 0.000
Ni1 0.500 0.500 0.000
# Magnetic moment, μB/atom: 0.0000
# E, eV/atom: -2.815

---

# 3
# KLiPSe3 (PBE, relaxed)
data_KLiPSe3
_chemical_formula_sum 'K2 Li2 P2 Se6'
_symmetry_space_group_name_H-M 'P 1'
_symmetry_Int_Tables_number 1
_symmetry_space_group_name_Hall 'P 1'
_cell_length_a 7.310
_cell_length_b 7.310
_cell_length_c 7.556
_cell_angle_alpha 91.96
_cell_angle_beta 91.96
_cell_angle_gamma 61.67
loop_
_atom_site_label
_atom_site_fract_x
_atom_site_fract_y
_atom_site_fract_z
K1 0.159 0.159 0.165
K2 0.841 0.841 0.835
Li1 0.311 0.689 0.500
Li2 0.689 0.311 0.500
P1 0.482 0.482 0.148
P2 0.518 0.518 0.852
Se1 0.145 0.641 0.202
Se2 0.359 0.855 0.798
Se3 0.368 0.368 0.691
Se4 0.632 0.632 0.309
Se5 0.641 0.145 0.202
Se6 0.855 0.359 0.798
# Magnetic moment, μB/atom: 0.0000
# Formation energy without anion corrections, kJ/mol of formula units: -431
# E, eV/atom: -3.891

---

# 4
# SmTm3Sc3 (PBE, relaxed)
data_SmTm3Sc3
_chemical_formula_sum 'Sm2 Tm6 Sc6'
_symmetry_space_group_name_H-M 'P 1'
_symmetry_Int_Tables_number 1
_symmetry_space_group_name_Hall 'P 1'
_cell_length_a 8.421
_cell_length_b 8.421
_cell_length_c 8.421
_cell_angle_alpha 58.84
_cell_angle_beta 58.84
_cell_angle_gamma 58.84
loop_
_atom_site_label
_atom_site_fract_x
_atom_site_fract_y
_atom_site_fract_z
Sm1 0.150 0.150 0.150
Sm2 0.850 0.850 0.850
Tm1 0.069 0.226 0.565
Tm2 0.226 0.565 0.069
Tm3 0.435 0.931 0.774
Tm4 0.565 0.069 0.226
Tm5 0.774 0.435 0.931
Tm6 0.931 0.774 0.435
Sc1 0.222 0.437 0.668
Sc2 0.332 0.778 0.563
Sc3 0.437 0.668 0.222
Sc4 0.563 0.332 0.778
Sc5 0.668 0.222 0.437
Sc6 0.778 0.563 0.332
# Magnetic moment, μB/atom: 0.0000
# Distance to the lowest polymorph of the same formula, meV per atom: 166
# E, eV/atom: -5.113

---

# 5
# BaNa2SrPd (PBE, relaxed)
data_BaNa2SrPd
_chemical_formula_sum 'Ba1 Na2 Sr1 Pd1'
_symmetry_space_group_name_H-M 'P 1'
_symmetry_Int_Tables_number 1
_symmetry_space_group_name_Hall 'P 1'
_cell_length_a 5.881
_cell_length_b 5.881
_cell_length_c 5.973
_cell_angle_alpha 90.00
_cell_angle_beta 90.00
_cell_angle_gamma 90.00
loop_
_atom_site_label
_atom_site_fract_x
_atom_site_fract_y
_atom_site_fract_z
Ba1 0.000 0.000 0.000
Na1 0.000 0.500 0.500
Na2 0.500 0.000 0.500
Sr1 0.500 0.500 0.000
Pd1 0.000 0.000 0.500
# Magnetic moment, μB/atom: 0.0050
# Distance to the lowest polymorph of the same formula, meV per atom: 37
# E, eV/atom: -2.299

---

# 6
# AcZnAs2 (PBE, relaxed)
data_AcZnAs2
_chemical_formula_sum 'Ac1 Zn1 As2'
_symmetry_space_group_name_H-M 'P 1'
_symmetry_Int_Tables_number 1
_symmetry_space_group_name_Hall 'P 1'
_cell_length_a 3.858
_cell_length_b 3.858
_cell_length_c 6.388
_cell_angle_alpha 90.00
_cell_angle_beta 90.00
_cell_angle_gamma 90.00
loop_
_atom_site_label
_atom_site_fract_x
_atom_site_fract_y
_atom_site_fract_z
Ac1 0.000 0.000 0.000
Zn1 0.000 0.000 0.500
As1 0.500 0.500 0.298
As2 0.500 0.500 0.702
# Magnetic moment, μB/atom: 0.0000
# Distance to the lowest polymorph of the same formula, meV per atom: 348
# E, eV/atom: -4.053

---

# 7
# BaLaRu3 (PBE, relaxed)
data_BaLaRu3
_chemical_formula_sum 'Ba1 La1 Ru3'
_symmetry_space_group_name_H-M 'P 1'
_symmetry_Int_Tables_number 1
_symmetry_space_group_name_Hall 'P 1'
_cell_length_a 5.035
_cell_length_b 5.035
_cell_length_c 5.035
_cell_angle_alpha 90.00
_cell_angle_beta 90.00
_cell_angle_gamma 90.00
loop_
_atom_site_label
_atom_site_fract_x
_atom_site_fract_y
_atom_site_fract_z
Ba1 0.000 0.000 0.000
La1 0.500 0.500 0.500
Ru1 0.000 0.000 0.500
Ru2 0.000 0.500 0.000
Ru3 0.500 0.000 0.000
# Magnetic moment, μB/atom: 0.4533
# Distance to the lowest polymorph of the same formula, meV per atom: 542
# E, eV/atom: -5.202

---

# 8
# Pm3Tl3GaSe8 (PBE, relaxed)
data_Pm3Tl3GaSe8
_chemical_formula_sum 'Pm3 Tl3 Ga1 Se8'
_symmetry_space_group_name_H-M 'P 1'
_symmetry_Int_Tables_number 1
_symmetry_space_group_name_Hall 'P 1'
_cell_length_a 8.421
_cell_length_b 8.421
_cell_length_c 9.043
_cell_angle_alpha 117.82
_cell_angle_beta 117.82
_cell_angle_gamma 59.99
loop_
_atom_site_label
_atom_site_fract_x
_atom_site_fract_y
_atom_site_fract_z
Pm1 0.000 0.000 0.000
Pm2 0.000 0.500 0.000
Pm3 0.500 0.000 0.000
Tl1 0.000 0.500 0.500
Tl2 0.500 0.000 0.500
Tl3 0.500 0.500 0.500
Ga1 0.500 0.500 0.000
Se1 0.238 0.238 0.215
Se2 0.261 0.719 0.199
Se3 0.281 0.281 0.801
Se4 0.281 0.739 0.801
Se5 0.719 0.261 0.199
Se6 0.719 0.719 0.199
Se7 0.739 0.281 0.801
Se8 0.762 0.762 0.785
# Magnetic moment, μB/atom: 0.0000
# Formation energy without anion corrections, kJ/mol of formula units: -1586
# E, eV/atom: -4.579

---

# 9
# RbTl6Sn (PBE, relaxed)
data_RbTl6Sn
_chemical_formula_sum 'Rb1 Tl6 Sn1'
_symmetry_space_group_name_H-M 'P 1'
_symmetry_Int_Tables_number 1
_symmetry_space_group_name_Hall 'P 1'
_cell_length_a 5.530
_cell_length_b 5.530
_cell_length_c 9.413
_cell_angle_alpha 90.00
_cell_angle_beta 90.00
_cell_angle_gamma 90.00
loop_
_atom_site_label
_atom_site_fract_x
_atom_site_fract_y
_atom_site_fract_z
Rb1 0.000 0.000 0.000
Tl1 0.000 0.500 0.323
Tl2 0.000 0.500 0.677
Tl3 0.500 0.000 0.323
Tl4 0.500 0.000 0.677
Tl5 0.500 0.500 0.159
Tl6 0.500 0.500 0.841
Sn1 0.000 0.000 0.500
# Magnetic moment, μB/atom: 0.0000
# Distance to the lowest polymorph of the same formula, meV per atom: 21
# E, eV/atom: -2.397

---

# 10
# La12Nd7Sc (PBE, relaxed)
data_La12Nd7Sc
_chemical_formula_sum 'La12 Nd7 Sc1'
_symmetry_space_group_name_H-M 'P 1'
_symmetry_Int_Tables_number 1
_symmetry_space_group_name_Hall 'P 1'
_cell_length_a 8.928
_cell_length_b 8.928
_cell_length_c 8.928
_cell_angle_alpha 90.61
_cell_angle_beta 90.61
_cell_angle_gamma 90.61
loop_
_atom_site_label
_atom_site_fract_x
_atom_site_fract_y
_atom_site_fract_z
La1 0.020 0.910 0.352
La2 0.090 0.648 0.980
La3 0.223 0.358 0.748
La4 0.252 0.777 0.642
La5 0.352 0.020 0.910
La6 0.358 0.748 0.223
La7 0.642 0.252 0.777
La8 0.648 0.980 0.090
La9 0.748 0.223 0.358
La10 0.777 0.642 0.252
La11 0.910 0.352 0.020
La12 0.980 0.090 0.648
Nd1 0.000 0.000 0.000
Nd2 0.121 0.428 0.369
Nd3 0.369 0.121 0.428
Nd4 0.428 0.369 0.121
Nd5 0.572 0.631 0.879
Nd6 0.631 0.879 0.572
Nd7 0.879 0.572 0.631
Sc1 0.500 0.500 0.500
# Magnetic moment, μB/atom: 0.0000
# Distance to the lowest polymorph of the same formula, meV per atom: 29
# E, eV/atom: -4.762

---

# 11
# BaAl2Ir (PBE, relaxed)
data_BaAl2Ir
_chemical_formula_sum 'Ba1 Al2 Ir1'
_symmetry_space_group_name_H-M 'P 1'
_symmetry_Int_Tables_number 1
_symmetry_space_group_name_Hall 'P 1'
_cell_length_a 3.075
_cell_length_b 4.085
_cell_length_c 7.427
_cell_angle_alpha 90.00
_cell_angle_beta 101.64
_cell_angle_gamma 90.00
loop_
_atom_site_label
_atom_site_fract_x
_atom_site_fract_y
_atom_site_fract_z
Ba1 0.000 0.000 0.000
Al1 0.233 0.000 0.447
Al2 0.345 0.500 0.682
Ir1 0.705 0.500 0.394
# Magnetic moment, μB/atom: 0.0000
# E, eV/atom: -4.808

---

# 12
# Sr13Ir2 (PBE, relaxed)
data_Sr13Ir2
_chemical_formula_sum 'Sr13 Ir2'
_symmetry_space_group_name_H-M 'P 1'
_symmetry_Int_Tables_number 1
_symmetry_space_group_name_Hall 'P 1'
_cell_length_a 7.396
_cell_length_b 9.539
_cell_length_c 11.287
_cell_angle_alpha 65.10
_cell_angle_beta 83.74
_cell_angle_gamma 82.72
loop_
_atom_site_label
_atom_site_fract_x
_atom_site_fract_y
_atom_site_fract_z
Sr1 0.000 0.000 0.000
Sr2 0.082 0.853 0.695
Sr3 0.142 0.700 0.381
Sr4 0.232 0.535 0.079
Sr5 0.304 0.377 0.769
Sr6 0.377 0.228 0.470
Sr7 0.473 0.070 0.158
Sr8 0.527 0.930 0.842
Sr9 0.623 0.772 0.530
Sr10 0.696 0.623 0.231
Sr11 0.768 0.465 0.921
Sr12 0.858 0.300 0.619
Sr13 0.918 0.147 0.305
Ir1 0.192 0.116 0.732
Ir2 0.808 0.884 0.268
# Magnetic moment, μB/atom: 0.0000
# E, eV/atom: -2.775